Entry 1:
Entry from the Alexandria database: a geometry-optimized LaTcGe2 structure (PBE).

```
LaTcGe2
1.0
4.9929 0.0000 0.0000
0.0000 4.9929 0.0000
2.4965 2.4965 8.1293
Tc La Ge
2 2 4
Direct
0.5000 0.5000 0.0000
0.2500 0.7500 0.5000
0.0000 0.0000 0.0000
0.7500 0.2500 0.5000
0.3138 0.6250 0.2500
0.8750 0.6862 0.7500
0.4362 0.1250 0.2500
0.3750 0.5638 0.7500
```

Values from the calculation:
Energy relative to the lowest polymorph listed for this composition: 1.508 eV per formula unit
Energy of formation from the pure elements: -0.1706 eV per atom
Total magnetic moment: 0.0 μB/cell
VASP energy: -50.4 eV per cell

---

Entry 2:
Entry from the Alexandria database: a geometry-optimized La2Ge2Te structure (PBE).

```
La2Ge2Te
1.0
-4.1627 0.6240 4.0857
-3.8900 -2.5508 -3.5738
-2.9934 -4.8434 1.9010
Te La Ge
1 2 2
Direct
0.0000 0.0000 0.0000
0.7500 0.2500 0.5000
0.2500 0.7500 0.5000
0.3550 0.3550 0.2901
0.6450 0.6450 0.7099
```

Values from the calculation:
Energy relative to the lowest polymorph listed for this composition: 2.312 eV per formula unit
Total magnetic moment: 0.0 μB/cell
VASP energy: -25.4 eV per cell
E_form (uncorrected): -637 meV/atom

---

Entry 3:
Entry from the Alexandria database: a geometry-optimized La5GeTe4 structure (PBE).

```
La5GeTe4
1.0
6.4401 0.0000 0.0000
3.2201 7.2155 0.0000
3.2201 0.0000 7.2155
La Te Ge
5 4 1
Direct
0.7179 0.1860 0.3800
0.9040 0.3800 0.8140
0.0980 0.6200 0.1860
0.2840 0.8140 0.6200
0.5013 0.0000 0.0000
0.5954 0.6022 0.2089
0.4065 0.3978 0.7911
0.1976 0.2089 0.3978
0.8043 0.7911 0.6022
0.0012 0.0000 0.0000
```

Values from the calculation:
Total magnetic moment: 0.0 μB/cell
VASP energy: -56.8 eV per cell
E_form (uncorrected): -1496 meV/atom